P | The following is a GGA-PBE calculation of a relaxed TeMo2S2 crystal, from Alexandria.

## Properties
Crystal system = tetragonal
D(E_F) = 0.665 states/eV/atom
Spin magnetization = 0.0 μB per formula unit
ρ = 6986 kg/m³
V = 91.2 Å³ per cell
Space group = No. 139

Unit cell a=4.3676 b=4.3676 c=5.6907 alpha=67.43 beta=67.43 gamma=90.00
With the nearest neighbours (Å) after each atom.
Fractional positions:
Mo  0.7500  0.2500  0.5000  4 S 2.40
Mo  0.2500  0.7500  0.5000  4 S 2.40
Te  0.0000  0.0000  0.0000  8 Mo 3.24, 10 S 3.38-3.39
S  0.3540  0.3540  0.2919  4 Mo 2.40
S  0.6460  0.6460  0.7081  4 Mo 2.40

Q | The following is a GGA-PBE calculation of a relaxed TeMo2S2 crystal, from Alexandria.

## Properties
Crystal system = tetragonal
D(E_F) = 0.819 states/eV/atom
Spin magnetization = 0.0 μB per formula unit
ρ = 6748 kg/m³
V = 188.8 Å³ per cell
Space group = No. 127

Unit cell a=8.0104 b=8.0104 c=2.9424 alpha=90.00 beta=90.00 gamma=90.00
With the nearest neighbours (Å) after each atom.
Fractional positions:
Mo  0.1198  0.6198  0.5000  4 S 2.46, 1 Mo 2.71
Mo  0.6198  0.8802  0.5000  4 S 2.46, 1 Mo 2.71
Mo  0.8802  0.3802  0.5000  4 S 2.46, 1 Mo 2.71
Mo  0.3802  0.1198  0.5000  4 S 2.46, 1 Mo 2.71
Te  0.0000  0.0000  0.0000  2 Te 2.94, 4 S 3.16
Te  0.5000  0.5000  0.0000  2 Te 2.94, 4 S 3.16
S  0.3731  0.8731  0.0000  4 Mo 2.46
S  0.8731  0.6269  0.0000  4 Mo 2.46
S  0.6269  0.1269  0.0000  4 Mo 2.46
S  0.1269  0.3731  0.0000  4 Mo 2.46

On energetic grounds, P is preferred over the next structure by 413 meV per atom.

P | The following is a GGA-PBE calculation of a relaxed TeMoS3 crystal, from Alexandria.

## Properties
Crystal system = cubic
D(E_F) = 1.364 states/eV/atom
Spin magnetization = 4.0 μB per formula unit
ρ = 4229 kg/m³
V = 125.5 Å³ per cell
Space group = No. 221

Unit cell a=5.0072 b=5.0072 c=5.0072 alpha=90.00 beta=90.00 gamma=90.00
With the nearest neighbours (Å) after each atom.
Fractional positions:
Mo  0.5000  0.5000  0.5000  12 S 3.54
Te  0.0000  0.0000  0.0000  6 S 2.50
S  0.0000  0.5000  0.0000  2 Te 2.50
S  0.0000  0.0000  0.5000  2 Te 2.50
S  0.5000  0.0000  0.0000  2 Te 2.50

Q | The following is a GGA-PBE calculation of a relaxed TeMoS3 crystal, from Alexandria.

## Properties
Crystal system = cubic
D(E_F) = 0.778 states/eV/atom
Spin magnetization = 0.0 μB per formula unit
ρ = 5092 kg/m³
V = 104.3 Å³ per cell
Space group = No. 221

Unit cell a=4.7067 b=4.7067 c=4.7067 alpha=90.00 beta=90.00 gamma=90.00
With the nearest neighbours (Å) after each atom.
Fractional positions:
Mo  0.0000  0.0000  0.0000  6 S 2.35
Te  0.5000  0.5000  0.5000  12 S 3.33
S  0.0000  0.5000  0.0000  2 Mo 2.35
S  0.0000  0.0000  0.5000  2 Mo 2.35
S  0.5000  0.0000  0.0000  2 Mo 2.35

On energetic grounds, Q is preferred over the next structure by 951 meV per atom.

P | The following is a GGA-PBE calculation of a relaxed Te3MoS crystal, from Alexandria.

## Properties
Crystal system = cubic
D(E_F) = 0.954 states/eV/atom
Spin magnetization = 3.5 μB per formula unit
ρ = 6015 kg/m³
V = 141.0 Å³ per cell
Space group = No. 221

Unit cell a=5.2049 b=5.2049 c=5.2049 alpha=90.00 beta=90.00 gamma=90.00
With the nearest neighbours (Å) after each atom.
Fractional positions:
Te  0.0000  0.5000  0.0000  2 S 2.60
Te  0.0000  0.0000  0.5000  2 S 2.60
Te  0.5000  0.0000  0.0000  2 S 2.60
Mo  0.5000  0.5000  0.5000  12 Te 3.68
S  0.0000  0.0000  0.0000  6 Te 2.60

Q | The following is a GGA-PBE calculation of a relaxed Te3MoS crystal, from Alexandria.

## Properties
Crystal system = cubic
D(E_F) = 1.031 states/eV/atom
Spin magnetization = 0.0 μB per formula unit
ρ = 5954 kg/m³
V = 142.5 Å³ per cell
Space group = No. 221

Unit cell a=5.2228 b=5.2228 c=5.2228 alpha=90.00 beta=90.00 gamma=90.00
With the nearest neighbours (Å) after each atom.
Fractional positions:
Mo  0.0000  0.0000  0.0000  6 Te 2.61
Te  0.0000  0.5000  0.0000  2 Mo 2.61
Te  0.0000  0.0000  0.5000  2 Mo 2.61
Te  0.5000  0.0000  0.0000  2 Mo 2.61
S  0.5000  0.5000  0.5000  12 Te 3.69

On energetic grounds, Q is preferred over the next structure by 398 meV per atom.

P | The following is a GGA-PBE calculation of a relaxed TeMo2S3 crystal, from Alexandria.

## Properties
Crystal system = trigonal
Spin magnetization = 0.0 μB per formula unit
ρ = 5311 kg/m³
V = 130.0 Å³ per cell
Space group = No. 156

Unit cell a=3.2775 b=3.2775 c=13.9711 alpha=90.00 beta=90.00 gamma=120.00
With the nearest neighbours (Å) after each atom.
Fractional positions:
Te  0.0000  0.0000  0.1257  3 Mo 2.72
Mo  0.0000  0.0000  0.7455  6 S 2.44
Mo  0.3333  0.6667  0.2652  3 S 2.42
S  0.3333  0.6667  0.8555  3 Mo 2.44
S  0.3333  0.6667  0.6354  3 Mo 2.44
S  0.0000  0.0000  0.3727  3 Mo 2.42

Q | The following is a GGA-PBE calculation of a relaxed TeMo2S3 crystal, from Alexandria.

## Properties
Crystal system = trigonal
D(E_F) = 0.094 states/eV/atom
Spin magnetization = 0.0 μB per formula unit
ρ = 3953 kg/m³
V = 349.2 Å³ per cell
Space group = No. 156

Unit cell a=3.2749 b=3.2749 c=37.5993 alpha=90.00 beta=90.00 gamma=120.00
With the nearest neighbours (Å) after each atom.
Fractional positions:
Te  0.3333  0.6667  0.4188  3 Mo 2.70
Te  0.3333  0.6667  0.5214  3 Mo 2.70
Mo  0.0000  0.0000  0.0905  6 S 2.44
Mo  0.0000  0.0000  0.4701  6 Te 2.70
Mo  0.3333  0.6667  0.2746  6 S 2.44
Mo  0.3333  0.6667  0.6677  6 S 2.44
S  0.0000  0.0000  0.3154  3 Mo 2.44
S  0.0000  0.0000  0.7086  3 Mo 2.44
S  0.3333  0.6667  0.0496  3 Mo 2.44
S  0.3333  0.6667  0.1314  3 Mo 2.44
S  0.0000  0.0000  0.2337  3 Mo 2.44
S  0.0000  0.0000  0.6269  3 Mo 2.44

R | The following is a GGA-PBE calculation of a relaxed TeMo2S3 crystal, from Alexandria.

## Properties
Crystal system = monoclinic
D(E_F) = 0.139 states/eV/atom
Spin magnetization = 0.0 μB per formula unit
ρ = 5050 kg/m³
V = 273.4 Å³ per cell
Space group = No. 12

Unit cell a=3.2221 b=8.2012 c=11.1362 alpha=104.55 beta=81.68 gamma=78.67
With the nearest neighbours (Å) after each atom.
Fractional positions:
Te  0.3936  0.5148  0.6980  3 Mo 2.75-2.76
Te  0.6064  0.4852  0.3020  3 Mo 2.75-2.76
Mo  0.8903  0.3734  0.8460  4 S 2.41-2.51
Mo  0.1097  0.6266  0.1540  4 S 2.41-2.51
Mo  0.5965  0.1589  0.6480  5 S 2.39-2.54
Mo  0.4035  0.8411  0.3520  5 S 2.39-2.54
S  0.0838  0.0602  0.7723  3 Mo 2.39-2.41
S  0.9162  0.9398  0.2277  3 Mo 2.39-2.41
S  0.6639  0.6722  0.9999  3 Mo 2.44-2.51
S  0.3361  0.3278  0.0001  3 Mo 2.44-2.51
S  0.8187  0.8407  0.5219  3 Mo 2.47-2.54
S  0.1813  0.1593  0.4781  3 Mo 2.47-2.54

On energetic grounds, P is preferred over the next structure by 6 meV per atom.